# NdGdRhAu (PBE, optimized geometry)
# - Theoretical density: 10.748 g/cm3
# - Total DFT energy (no corrections): -8.0985 eV per atom
# - Magnetization: 28.87 μB/cell
# - Energy relative to the elements: -2.916 eV/f.u.
data_NdGdRhAu
_chemical_formula_sum 'Nd4 Gd4 Rh4 Au4'
_space_group_name_H-M_alt 'F -4 3 m'
_space_group_IT_number 216
_space_group_name_Hall 'F -4 2 3'
_cell_length_a 7.190
_cell_length_b 7.190
_cell_length_c 7.190
_cell_angle_alpha 90.00
_cell_angle_beta 90.00
_cell_angle_gamma 90.00
loop_
_atom_site_label
_atom_site_type_symbol
_atom_site_fract_x
_atom_site_fract_y
_atom_site_fract_z
_atom_site_occupancy
Nd1 Nd 0.000 0.000 0.000 1
Gd1 Gd 0.000 0.000 0.500 1
Rh1 Rh 0.250 0.250 0.750 1
Au1 Au 0.250 0.250 0.250 1

---

# Ac2In3Sn2 (PBE, optimized geometry)
# - Theoretical density: 7.920 g/cm3
# - Total DFT energy (no corrections): -3.9339 eV per atom
# - Magnetization: 0.00 μB/cell
# - Excess energy over the best structure of this formula in the dataset: 0.000 eV per atom
# - Energy relative to the elements: -3.100 eV/f.u.
data_Ac2In3Sn2
_chemical_formula_sum 'Ac4 In6 Sn4'
_space_group_name_H-M_alt 'C 1 2/m 1'
_space_group_IT_number 12
_space_group_name_Hall '-C 2y'
_cell_length_a 12.264
_cell_length_b 4.734
_cell_length_c 7.821
_cell_angle_alpha 90.00
_cell_angle_beta 106.95
_cell_angle_gamma 90.00
loop_
_atom_site_label
_atom_site_type_symbol
_atom_site_fract_x
_atom_site_fract_y
_atom_site_fract_z
_atom_site_occupancy
Ac1 Ac 0.125 0.000 0.270 1
In1 In 0.000 0.500 0.500 1
In2 In 0.169 0.000 0.732 1
Sn1 Sn 0.104 0.500 0.928 1

---

# CeTmOs (PBE, optimized geometry)
# - Theoretical density: 12.772 g/cm3
# - Total DFT energy (no corrections): -7.2291 eV per atom
# - Magnetization: 0.00 μB/cell
# - Excess energy over the best structure of this formula in the dataset: 0.173 eV per atom
# - Energy relative to the elements: -0.052 eV/f.u.
data_CeTmOs
_chemical_formula_sum 'Ce1 Tm1 Os1'
_space_group_name_H-M_alt 'P 3 m 1'
_space_group_IT_number 156
_space_group_name_Hall 'P 3 -2"'
_cell_length_a 4.7497
_cell_length_b 4.7497
_cell_length_c 3.3225
_cell_angle_alpha 90.00
_cell_angle_beta 90.00
_cell_angle_gamma 120.00
loop_
_atom_site_label
_atom_site_type_symbol
_atom_site_fract_x
_atom_site_fract_y
_atom_site_fract_z
_atom_site_occupancy
Ce1 Ce 0.0000 0.0000 0.0000 1
Tm1 Tm 0.3333 0.6667 0.3945 1
Os1 Os 0.6667 0.3333 0.7058 1

---

# Rb3AlRh (PBE, optimized geometry)
# - Theoretical density: 2.822 g/cm3
# - Total DFT energy (no corrections): -1.9720 eV per atom
# - Magnetization: 0.00 μB/cell
# - Excess energy over the best structure of this formula in the dataset: 0.000 eV per atom
# - Energy relative to the elements: 4.137 eV/f.u.
data_Rb3AlRh
_chemical_formula_sum 'Rb3 Al1 Rh1'
_space_group_name_H-M_alt 'P m -3 m'
_space_group_IT_number 221
_space_group_name_Hall '-P 4 2 3'
_cell_length_a 6.103
_cell_length_b 6.103
_cell_length_c 6.103
_cell_angle_alpha 90.00
_cell_angle_beta 90.00
_cell_angle_gamma 90.00
loop_
_atom_site_label
_atom_site_type_symbol
_atom_site_fract_x
_atom_site_fract_y
_atom_site_fract_z
_atom_site_occupancy
Rb1 Rb 0.000 0.000 0.500 1
Al1 Al 0.500 0.500 0.500 1
Rh1 Rh 0.000 0.000 0.000 1